# Y3ScPt2

A geometry-optimized Y3ScPt2 structure (PBE, Alexandria).

E_form   -0.85 eV per atom

```
Y3ScPt2
1.0
4.2264 0.0000 0.0000
0.0000 4.7319 0.0000
0.0000 0.0000 14.6285
Y Sc Pt
6 2 4
direct
0.0000 0.0000 0.0000
0.0000 0.5000 0.3164
0.0000 0.5000 0.6836
0.5000 0.0000 0.1836
0.5000 0.0000 0.8164
0.5000 0.5000 0.5000
0.0000 0.0000 0.5000
0.5000 0.5000 0.0000
0.0000 0.5000 0.1249
0.0000 0.5000 0.8751
0.5000 0.0000 0.3751
0.5000 0.0000 0.6249
```

# K2SmCl5

A geometry-optimized K2SmCl5 structure (PBE, Alexandria).

Raw formation energy   -17.35 eV per formula unit

```
K2SmCl5
1.0
13.0142 0.0000 0.0000
0.0000 8.7276 0.0000
0.0000 0.0000 8.1206
K Sm Cl
8 4 20
direct
0.1727 0.0030 0.0475
0.1727 0.4970 0.0475
0.3273 0.5030 0.5475
0.3273 0.9970 0.5475
0.6727 0.0030 0.4525
0.6727 0.4970 0.4525
0.8273 0.5030 0.9525
0.8273 0.9970 0.9525
0.0052 0.2500 0.5740
0.4948 0.7500 0.0740
0.5052 0.2500 0.9260
0.9948 0.7500 0.4260
0.0106 0.2500 0.9148
0.0769 0.5424 0.6605
0.0769 0.9576 0.6605
0.1757 0.2500 0.3747
0.1996 0.7500 0.3375
0.3004 0.2500 0.8375
0.3243 0.7500 0.8747
0.4231 0.0424 0.1605
0.4231 0.4576 0.1605
0.4894 0.7500 0.4148
0.5106 0.2500 0.5852
0.5769 0.5424 0.8395
0.5769 0.9576 0.8395
0.6757 0.2500 0.1253
0.6996 0.7500 0.1625
0.8004 0.2500 0.6625
0.8243 0.7500 0.6253
0.9231 0.0424 0.3395
0.9231 0.4576 0.3395
0.9894 0.7500 0.0852
```

| no. | density of states at the Fermi level (states/eV per atom) | volume (A^3/atom) | density (g/cm³) |
| --- | --- | --- | --- |
| 1 | 1.371 | 24.38 | 7.967 |
| 2 | 0.000 | 28.82 | 2.922 |